Entry 1:
{"formula": "ErZnHg2", "functional": "GGA-PBE", "state": "relaxed", "delta_e_f_ev_per_atom": -0.287, "final_energy_ev_per_atom": -1.90, "total_magnetization_mub_per_fu": 0.0, "density_g_cm3": 11.81, "lattice": [[4.288, 0.000, -1.189], [-0.330, 4.276, -1.189], [0.331, 0.357, 9.519]], "species": ["Er", "Er", "Zn", "Zn", "Hg", "Hg", "Hg", "Hg"], "frac_coords": [[0.130, 0.130, 0.260], [0.870, 0.870, 0.740], [0.250, 0.750, 0.500], [0.750, 0.250, 0.500], [0.000, 0.500, 0.000], [0.500, 0.000, 0.000], [0.345, 0.345, 0.690], [0.655, 0.655, 0.310]]}

***

Entry 2:
{"formula": "Be4RuRh", "functional": "GGA-PBE", "state": "relaxed", "delta_e_f_ev_per_atom": -0.388, "final_energy_ev_per_atom": -5.64, "de_polymorph_mev_per_atom": 0, "total_magnetization_mub_per_fu": 0.2, "density_g_cm3": 6.86, "lattice": [[4.348, 0.000, 0.000], [2.174, 3.766, 0.000], [2.174, 1.255, 3.550]], "species": ["Be", "Be", "Be", "Be", "Rh", "Ru"], "frac_coords": [[0.374, 0.374, 0.877], [0.374, 0.374, 0.374], [0.374, 0.877, 0.374], [0.877, 0.374, 0.374], [0.750, 0.750, 0.750], [0.000, 0.000, 0.000]]}

***

Entry 3:
{"formula": "Tm5Mn2Cd2", "functional": "GGA-PBE", "state": "relaxed", "delta_e_f_ev_per_atom": -0.070, "final_energy_ev_per_atom": -4.80, "total_magnetization_mub_per_fu": 2.5, "density_g_cm3": 9.08, "lattice": [[6.641, 0.000, 2.411], [0.000, 7.138, 0.000], [0.401, 0.000, 9.248]], "species": ["Tm", "Tm", "Tm", "Tm", "Tm", "Tm", "Tm", "Tm", "Tm", "Tm", "Mn", "Mn", "Mn", "Mn", "Cd", "Cd", "Cd", "Cd"], "frac_coords": [[0.000, 0.000, 0.000], [0.500, 0.500, 0.000], [0.434, 0.186, 0.759], [0.808, 0.814, 0.759], [0.308, 0.686, 0.759], [0.934, 0.314, 0.759], [0.566, 0.814, 0.241], [0.192, 0.186, 0.241], [0.692, 0.314, 0.241], [0.066, 0.686, 0.241], [0.103, 0.394, 0.000], [0.897, 0.606, 0.000], [0.397, 0.894, 0.000], [0.603, 0.106, 0.000], [0.229, 0.000, 0.541], [0.729, 0.500, 0.541], [0.771, 0.000, 0.459], [0.271, 0.500, 0.459]]}

***

Entry 4:
{"formula": "Mg4GaBi", "functional": "GGA-PBE", "state": "relaxed", "delta_e_f_ev_per_atom": -0.077, "final_energy_ev_per_atom": -2.29, "total_magnetization_mub_per_fu": 0.0, "density_g_cm3": 4.25, "lattice": [[-0.239, 2.086, 5.857], [-1.404, -7.853, 0.794], [6.750, 1.884, -2.728]], "species": ["Mg", "Mg", "Mg", "Mg", "Mg", "Mg", "Mg", "Mg", "Ga", "Ga", "Bi", "Bi"], "frac_coords": [[0.029, 0.208, 0.851], [0.820, 0.699, 0.645], [0.322, 0.643, 0.851], [0.326, 0.946, 0.645], [0.674, 0.054, 0.355], [0.678, 0.357, 0.149], [0.180, 0.301, 0.355], [0.971, 0.792, 0.149], [0.257, 0.007, 0.014], [0.743, 0.993, 0.986], [0.386, 0.636, 0.272], [0.614, 0.364, 0.728]]}